Entry 1:
Below is a relaxed TiZn2CdOs crystal, with properties calculated at the PBE-GGA level.

Magnetization (μB per atom): 0.00
ΔE_f (eV/atom): 0.4628
Offset from the most stable computed form (eV per atom): 0.000
E (eV per cell): -20.27

a b c (Å): 4.879 4.879 4.615
angles (deg): 90.00 90.00 90.00
Space group P4/mmm (No. 123)
Unique sites:
Ti: 0.000 0.000 0.000 [1 per cell]
Zn: 0.000 0.500 0.500 [2 per cell]
Cd: 0.500 0.500 0.000 [1 per cell]
Os: 0.000 0.000 0.500 [1 per cell]


Entry 2:
Below is a relaxed CrReTc2 crystal, with properties calculated at the PBE-GGA level.

Magnetization (μB per atom): 0.00
ΔE_f (eV/atom): 0.1309
E (eV per cell): -42.28

a b c (Å): 3.002 3.002 6.270
angles (deg): 90.00 90.00 90.00
Space group P4mm (No. 99)
Unique sites:
Cr: 0.000 0.000 0.000 [1 per cell]
Re: 0.500 0.500 0.205 [1 per cell]
Tc: 0.000 0.000 0.487 [1 per cell]
Tc: 0.500 0.500 0.744 [1 per cell]


Entry 3:
Below is a relaxed CdSnBiSb crystal, with properties calculated at the PBE-GGA level.

Magnetization (μB per atom): 0.00
Raw formation energy (eV/atom): 0.13
E (eV per cell): -49.67

a b c (Å): 7.658 7.658 7.658
angles (deg): 90.00 90.00 90.00
Space group F-43m (No. 216)
Unique sites:
Cd: 0.000 0.000 0.000 [4 per cell]
Sn: 0.000 0.000 0.500 [4 per cell]
Bi: 0.250 0.250 0.250 [4 per cell]
Sb: 0.250 0.250 0.750 [4 per cell]


Entry 4:
Below is a relaxed Sr2TcSnH crystal, with properties calculated at the PBE-GGA level.

Magnetization (μB per atom): 0.50
E (eV per cell): -19.32

a b c (Å): 6.078 6.078 3.558
angles (deg): 90.00 90.00 90.00
Space group P4/mmm (No. 123)
Unique sites:
Sr: 0.000 0.500 0.000 [2 per cell]
Tc: 0.000 0.000 0.000 [1 per cell]
Sn: 0.500 0.500 0.500 [1 per cell]
H: 0.000 0.000 0.500 [1 per cell]


Entry 5:
Below is a relaxed Li2YV crystal, with properties calculated at the PBE-GGA level.

Magnetization (μB per atom): 0.81
ΔE_f (eV/atom): 0.4775
Offset from the most stable computed form (eV per atom): 0.000
E (eV per cell): -70.00

a b c (Å): 6.868 6.868 6.868
angles (deg): 90.00 90.00 90.00
Space group Fm-3m (No. 225)
Unique sites:
Li: 0.250 0.250 0.250 [8 per cell]
Y: 0.000 0.000 0.000 [4 per cell]
V: 0.000 0.000 0.500 [4 per cell]


Entry 6:
Below is a relaxed La2TcPO crystal, with properties calculated at the PBE-GGA level.

Magnetization (μB per atom): 0.05
Raw formation energy (eV/atom): -0.33
E (eV per cell): -32.22

a b c (Å): 5.576 5.576 4.267
angles (deg): 90.00 90.00 90.00
Space group P4/mmm (No. 123)
Unique sites:
La: 0.000 0.500 0.000 [2 per cell]
Tc: 0.000 0.000 0.500 [1 per cell]
P: 0.000 0.000 0.000 [1 per cell]
O: 0.500 0.500 0.500 [1 per cell]


Entry 7:
Below is a relaxed RuPtBr2 crystal, with properties calculated at the PBE-GGA level.

Magnetization (μB per atom): 0.89
Offset from the most stable computed form (eV per atom): 0.951
Raw formation energy (eV/atom): 1.11
E (eV per cell): -28.47

a b c (Å): 4.285 4.285 8.578
angles (deg): 90.00 90.00 90.00
Space group I-4m2 (No. 119)
Unique sites:
Ru: 0.000 0.000 0.000 [2 per cell]
Pt: 0.000 0.500 0.250 [2 per cell]
Br: 0.000 0.000 0.500 [2 per cell]
Br: 0.000 0.500 0.750 [2 per cell]


Entry 8:
Below is a relaxed Mg3GaAg5 crystal, with properties calculated at the PBE-GGA level.

Magnetization (μB per atom): 0.00
ΔE_f (eV/atom): 0.0244
E (eV per cell): -87.39

a b c (Å): 7.937 7.937 11.315
angles (deg): 90.00 90.00 90.00
Space group I4/mcm (No. 140)
Unique sites:
Mg: 0.000 0.000 0.250 [4 per cell]
Mg: 0.119 0.381 0.000 [8 per cell]
Ga: 0.000 0.500 0.250 [4 per cell]
Ag: 0.000 0.000 0.000 [4 per cell]
Ag: 0.194 0.306 0.366 [16 per cell]


- Among the records above, which one has the highest magnetization?
  RuPtBr2


What did the sixth record say?
Below is a relaxed La2TcPO crystal, with properties calculated at the PBE-GGA level.

Magnetization (μB per atom): 0.05
Raw formation energy (eV/atom): -0.33
E (eV per cell): -32.22

a b c (Å): 5.576 5.576 4.267
angles (deg): 90.00 90.00 90.00
Space group P4/mmm (No. 123)
Unique sites:
La: 0.000 0.500 0.000 [2 per cell]
Tc: 0.000 0.000 0.500 [1 per cell]
P: 0.000 0.000 0.000 [1 per cell]
O: 0.500 0.500 0.500 [1 per cell]


- What is the formula in the eighth record?
  Mg3GaAg5